Record 1
A relaxed Cs2HgCl4 crystal. Source: Alexandria via LeMat-Bulk, functional PBE.

abc: 7.8698 7.5951 9.8578
angles: 90.00 108.83 90.00
Last column: nearest neighbours and their distance in Å.
Space group P2_1/m (No. 11)
One atom of each set of equivalent atoms:
Cs 0.2111 0.2500 0.0498 (multiplicity 2)  6 Cl 3.49-3.66
Cs 0.2793 0.2500 0.5703 (multiplicity 2)  8 Cl 3.57-3.95
Hg 0.2280 0.7500 0.7956 (multiplicity 2)  4 Cl 2.52-2.56
Cl 0.0031 0.0043 0.7344 (multiplicity 4)  1 Hg 2.56
Cl 0.3973 0.7500 0.0619 (multiplicity 2)  1 Hg 2.53
Cl 0.4224 0.7500 0.6360 (multiplicity 2)  1 Hg 2.52

Results
- Crystal system: monoclinic

Record 2
A relaxed Cs3Hg5Cl12 crystal. Source: Alexandria via LeMat-Bulk, functional PBE.

abc: 17.7244 17.7244 17.7244
angles: 90.00 90.00 90.00
Last column: nearest neighbours and their distance in Å.
Space group Ia-3d (No. 230)
One atom of each set of equivalent atoms:
Cs 0.0000 0.2500 0.1250 (multiplicity 24)  8 Cl 3.52-3.64
Hg 0.0000 0.0000 0.0000 (multiplicity 16)  6 Cl 2.79
Hg 0.0000 0.2500 0.3750 (multiplicity 24)  4 Cl 2.59
Cl 0.0360 0.0489 0.6450 (multiplicity 96)  2 Hg 2.59-2.79

Results
- Crystal system: cubic

Record 3
A relaxed CsHg5Cl11 crystal. Source: Alexandria via LeMat-Bulk, functional PBE.

abc: 11.9178 15.3436 7.0874
angles: 90.00 118.43 90.00
Last column: nearest neighbours and their distance in Å.
Space group C2/m (No. 12)
One atom of each set of equivalent atoms:
Cs 0.0000 0.0000 0.0000 (multiplicity 2)  10 Cl 3.54-3.90
Hg 0.0000 0.5000 0.0000 (multiplicity 2)  2 Cl 2.35
Hg 0.1884 0.1578 0.6686 (multiplicity 8)  2 Cl 2.33-2.35
Cl 0.0000 0.0000 0.5000 (multiplicity 2)  4 Hg 3.13
Cl 0.0841 0.2070 0.3123 (multiplicity 8)  1 Hg 2.35
Cl 0.1369 0.5000 0.3726 (multiplicity 4)  1 Hg 2.35
Cl 0.2061 0.3749 0.9658 (multiplicity 8)  1 Hg 2.33

Results
- Crystal system: monoclinic

Number 1: ΔE_f (raw) -966 kJ/mol of formula units. Number 2: ΔE_f (raw) -1910 kJ/mol of formula units. Number 3: ΔE_f (raw) -1283 kJ/mol of formula units.